This record from the Alexandria database describes MoIr3 after structural relaxation. The functional is PBEsol.

```
MoIr3
1.0
5.455 0.000 0.000
-2.728 4.724 0.000
0.000 0.000 8.831
Mo Ir
4 12
direct
0.000 0.000 0.000
0.000 0.000 0.500
0.333 0.667 0.250
0.667 0.333 0.750
0.000 0.500 0.000
0.000 0.500 0.500
0.169 0.338 0.750
0.169 0.831 0.750
0.338 0.169 0.250
0.500 0.000 0.000
0.500 0.000 0.500
0.500 0.500 0.000
0.500 0.500 0.500
0.662 0.831 0.750
0.831 0.169 0.250
0.831 0.662 0.250
```

Properties
The calculation puts the formation energy at -0.30 eV/atom. The space group is P6_3/mmc, No. 194. For the energy above the lowest structure with this stoichiometry, the calculation gives 0 meV per atom. The value obtained for the total magnetic moment is 0.000 μB per formula unit. Its calculated total energy is -10.61 eV per atom. The density of states at the Fermi level comes out at 0.711 states/eV/atom.

This record from the Alexandria database describes K2MgFe after structural relaxation. The functional is PBEsol.

```
K2MgFe
1.0
0.000 3.944 3.944
3.944 0.000 3.944
3.944 3.944 0.000
K Mg Fe
2 1 1
direct
0.000 0.000 0.000
0.250 0.250 0.250
0.750 0.750 0.750
0.500 0.500 0.500
```

Properties
The calculation puts the formation energy at 0.92 eV/atom. The space group is F-43m, No. 216. For the energy above the lowest structure with this stoichiometry, the calculation gives 255 meV per atom. The value obtained for the total magnetic moment is 2.760 μB per formula unit. Its calculated total energy is -2.31 eV per atom. The density of states at the Fermi level comes out at 1.516 states/eV/atom.

This record from the Alexandria database describes Mo2PtSe after structural relaxation. The functional is PBEsol.

```
Mo2PtSe
1.0
2.646 -4.146 0.000
2.646 4.146 0.000
-0.591 0.000 2.815
Mo Pt Se
2 1 1
direct
0.000 0.500 0.000
0.500 0.000 0.000
0.000 0.000 0.500
0.500 0.500 0.500
```

Properties
The space group is C2/m, No. 12. The value obtained for the total magnetic moment is 0.000 μB per formula unit. Its calculated total energy is -8.36 eV per atom. The density of states at the Fermi level comes out at 0.771 states/eV/atom. The energy relative to the elements, uncorrected is 0.2267 eV per atom.

This record from the Alexandria database describes KTm2Cu3Se5 after structural relaxation. The functional is PBEsol.

```
KTm2Cu3Se5
1.0
2.009 -7.045 0.000
2.009 7.045 0.000
0.000 0.000 16.505
K Tm Cu Se
2 4 6 10
direct
0.060 0.940 0.750
0.940 0.060 0.250
0.192 0.808 0.093
0.192 0.808 0.407
0.808 0.192 0.593
0.808 0.192 0.907
0.340 0.660 0.750
0.414 0.586 0.027
0.414 0.586 0.473
0.586 0.414 0.527
0.586 0.414 0.973
0.660 0.340 0.250
0.165 0.835 0.573
0.165 0.835 0.927
0.253 0.747 0.250
0.442 0.558 0.620
0.442 0.558 0.880
0.558 0.442 0.120
0.558 0.442 0.380
0.747 0.253 0.750
0.835 0.165 0.073
0.835 0.165 0.427
```

Properties
The space group is Cmcm, No. 63. The value obtained for the total magnetic moment is 0.000 μB per formula unit. Its calculated total energy is -5.05 eV per atom. The energy relative to the elements, uncorrected is -1.1200 eV per atom.

This record from the Alexandria database describes CrSe2BrO after structural relaxation. The functional is PBEsol.

```
CrSe2BrO
1.0
4.547 0.000 0.000
0.000 4.547 0.000
0.000 0.000 5.133
Cr Se Br O
1 2 1 1
direct
0.000 0.000 0.000
0.000 0.500 0.000
0.500 0.000 0.000
0.000 0.000 0.500
0.500 0.500 0.500
```

Properties
The space group is P4/mmm, No. 123. The value obtained for the total magnetic moment is 3.034 μB per formula unit. Its calculated total energy is -4.39 eV per atom. The density of states at the Fermi level comes out at 1.185 states/eV/atom. The energy relative to the elements, uncorrected is 0.6207 eV per atom.

This record from the Alexandria database describes Mg3Al14O24 after structural relaxation. The functional is PBEsol.

```
Mg3Al14O24
1.0
9.310 -2.849 0.000
9.310 2.849 0.000
-3.344 0.000 7.309
Mg Al O
3 14 24
direct
0.000 0.000 0.000
0.335 0.335 0.338
0.507 0.507 0.755
0.088 0.579 0.717
0.090 0.090 0.708
0.174 0.174 0.416
0.255 0.751 0.375
0.415 0.931 0.032
0.416 0.416 0.044
0.579 0.088 0.717
0.587 0.587 0.210
0.667 0.667 0.670
0.751 0.255 0.375
0.755 0.755 0.381
0.839 0.839 0.083
0.919 0.919 0.547
0.931 0.415 0.032
0.055 0.617 0.476
0.083 0.083 0.456
0.093 0.093 0.947
0.094 0.597 0.961
0.222 0.782 0.604
0.240 0.240 0.122
0.260 0.260 0.619
0.285 0.728 0.147
0.411 0.411 0.802
0.412 0.907 0.790
0.430 0.430 0.293
0.442 0.900 0.293
0.583 0.583 0.450
0.597 0.094 0.961
0.601 0.601 0.995
0.617 0.055 0.476
0.728 0.285 0.147
0.751 0.751 0.131
0.755 0.755 0.628
0.782 0.222 0.604
0.900 0.442 0.293
0.907 0.412 0.790
0.909 0.909 0.768
0.925 0.925 0.303
```

Properties
The space group is Cm, No. 8. The value obtained for the total magnetic moment is 0.019 μB per formula unit. Its calculated total energy is -7.62 eV per atom. The density of states at the Fermi level comes out at 0.000 states/eV/atom. The energy relative to the elements, uncorrected is -3.0240 eV per atom.

This record from the Alexandria database describes NdDy3 after structural relaxation. The functional is PBEsol.

```
NdDy3
1.0
-2.476 2.476 4.950
2.476 -2.476 4.950
2.476 2.476 -4.950
Nd Dy
1 3
direct
0.000 0.000 0.000
0.250 0.750 0.500
0.500 0.500 0.000
0.750 0.250 0.500
```

Properties
The calculation puts the formation energy at 0.01 eV/atom. The space group is I4/mmm, No. 139. For the energy above the lowest structure with this stoichiometry, the calculation gives 1 meV per atom. The value obtained for the total magnetic moment is 0.000 μB per formula unit. Its calculated total energy is -5.01 eV per atom. The density of states at the Fermi level comes out at 1.283 states/eV/atom.

This record from the Alexandria database describes TaRhSN2 after structural relaxation. The functional is PBEsol.

```
TaRhSN2
1.0
3.905 0.000 0.000
0.000 3.905 0.000
0.000 0.000 4.964
Ta Rh S N
1 1 1 2
direct
0.000 0.000 0.000
0.500 0.500 0.500
0.000 0.000 0.500
0.000 0.500 0.000
0.500 0.000 0.000
```

Properties
The space group is P4/mmm, No. 123. The value obtained for the total magnetic moment is 0.245 μB per formula unit. Its calculated total energy is -7.88 eV per atom. The density of states at the Fermi level comes out at 1.134 states/eV/atom. The energy relative to the elements, uncorrected is 0.5428 eV per atom.

This record from the Alexandria database describes CaTa3Pt after structural relaxation. The functional is PBEsol.

```
CaTa3Pt
1.0
4.931 0.000 0.000
0.000 4.931 0.000
0.000 0.000 4.931
Ca Ta Pt
1 3 1
direct
0.000 0.000 0.000
0.000 0.500 0.500
0.500 0.000 0.500
0.500 0.500 0.000
0.500 0.500 0.500
```

Properties
The calculation puts the formation energy at 1.06 eV/atom. The space group is Pm-3m, No. 221. The value obtained for the total magnetic moment is 0.002 μB per formula unit. Its calculated total energy is -8.29 eV per atom. The density of states at the Fermi level comes out at 1.266 states/eV/atom.

This record from the Alexandria database describes YTlAs2 after structural relaxation. The functional is PBEsol.

```
YTlAs2
1.0
-2.024 2.055 5.464
2.024 -2.055 5.464
2.024 2.055 -5.464
Y Tl As
1 1 2
direct
0.000 0.000 0.000
0.264 0.764 0.500
0.493 0.493 0.000
0.702 0.202 0.500
```

Properties
The calculation puts the formation energy at -0.53 eV/atom. The space group is Imm2, No. 44. For the energy above the lowest structure with this stoichiometry, the calculation gives 58 meV per atom. The value obtained for the total magnetic moment is 0.000 μB per formula unit. Its calculated total energy is -5.44 eV per atom. The density of states at the Fermi level comes out at 0.470 states/eV/atom.

This record from the Alexandria database describes LaZnCu2 after structural relaxation. The functional is PBEsol.

```
LaZnCu2
1.0
3.141 0.000 0.000
0.000 3.141 0.000
0.000 0.000 6.867
La Zn Cu
1 1 2
direct
0.000 0.000 0.000
0.000 0.000 0.500
0.500 0.500 0.316
0.500 0.500 0.684
```

Properties
The calculation puts the formation energy at -0.04 eV/atom. The space group is P4/mmm, No. 123. The value obtained for the total magnetic moment is 0.000 μB per formula unit. Its calculated total energy is -3.93 eV per atom. The density of states at the Fermi level comes out at 0.603 states/eV/atom.

Q: Look up the calculated total energy of the ninth one.
A: -8.29 eV per atom